Entry from Alexandria via LeMat-Bulk: crystalline LiLaTc3 at its relaxed geometry (PBE-GGA).

Its energy above the most stable polymorph in this dataset is 84.9 kJ/mol of atoms. The value obtained for the formation energy is 1.96 eV per atom. The density of states at the Fermi level comes out at 6.44 states/eV/cell. The volume comes out at 22.3 Å³/atom.

a b c (Å): 4.8098 4.8098 4.8098
angles (deg): 90.00 90.00 90.00
With the nearest neighbours (Å) after each atom.
Space group Pm-3m (No. 221)
Asymmetric unit:
Li 0.0000 0.0000 0.0000 [1 per cell]  12 Tc 3.40
La 0.5000 0.5000 0.5000 [1 per cell]  6 Tc 2.40
Tc 0.0000 0.5000 0.5000 [3 per cell]  2 La 2.40

=====

Entry from Alexandria via LeMat-Bulk: crystalline LiLa2Tc at its relaxed geometry (PBE-GGA).

The value obtained for the formation energy is 0.30 eV per atom. The density of states at the Fermi level comes out at 5.29 states/eV/cell. The volume comes out at 27.3 Å³/atom.

a b c (Å): 8.0429 8.0429 6.7436
angles (deg): 90.00 90.00 90.00
With the nearest neighbours (Å) after each atom.
Space group I-42d (No. 122)
Asymmetric unit:
Li 0.0000 0.0000 0.0000 [4 per cell]  8 La 3.30-3.58, 2 Tc 3.37
La 0.1921 0.2500 0.6250 [8 per cell]  2 Tc 2.67
Tc 0.0000 0.0000 0.5000 [4 per cell]  4 La 2.67

=====

Entry from Alexandria via LeMat-Bulk: crystalline LiLaTc2 at its relaxed geometry (PBE-GGA).

Its energy above the most stable polymorph in this dataset is 44.0 kJ/mol of atoms. The value obtained for the formation energy is 0.57 eV per atom. The density of states at the Fermi level comes out at 7.66 states/eV/cell. The volume comes out at 18.1 Å³/atom.

a b c (Å): 5.3086 9.8999 2.7570
angles (deg): 90.00 90.00 90.00
With the nearest neighbours (Å) after each atom.
Space group Cmmm (No. 65)
Asymmetric unit:
Li 0.0000 0.0000 0.0000 [2 per cell]  2 La 2.65, 2 Li 2.76
La 0.0000 0.5000 0.0000 [2 per cell]  2 Li 2.65, 2 La 2.76
Tc 0.2500 0.2500 0.5000 [4 per cell]  4 Tc 2.65-2.76